1.
{"formula": "Pm2DyAl2", "functional": "PBE-GGA", "state": "relaxed", "delta_e_f_ev_per_atom": -0.15, "relative_energy_mev_per_atom": 165, "total_magnetization_mub_per_cell": 0.00, "sg": "P2_1/m (11)", "cell": [[3.658, 0.000, 0.000], [0.000, 6.221, 0.665], [0.000, 0.106, 12.721]], "species": ["Dy", "Al", "Dy", "Pm", "Al", "Pm", "Al", "Pm", "Al", "Pm"], "frac_coords": [[0.250, 0.536, 0.210], [0.250, 0.345, 0.984], [0.750, 0.464, 0.790], [0.250, 0.225, 0.573], [0.250, 0.713, 0.627], [0.750, 0.068, 0.142], [0.750, 0.655, 0.016], [0.250, 0.932, 0.858], [0.750, 0.287, 0.373], [0.750, 0.775, 0.427]]}

2.
{"formula": "PmDy4Al", "functional": "PBE-GGA", "state": "relaxed", "delta_e_f_ev_per_atom": -0.12, "relative_energy_mev_per_atom": 0, "total_magnetization_mub_per_cell": 0.00, "sg": "P4/mmm (123)", "cell": [[-2.398, -2.627, -0.096], [2.335, -2.069, -1.711], [4.743, -4.779, 12.249]], "species": ["Dy", "Pm", "Dy", "Dy", "Al", "Dy"], "frac_coords": [[0.000, 0.000, 0.366], [0.000, 0.000, 0.000], [0.500, 0.500, 0.817], [0.000, 0.000, 0.634], [0.500, 0.500, 0.500], [0.500, 0.500, 0.183]]}

3.
{"formula": "Pm3Dy12Al", "functional": "PBE-GGA", "state": "relaxed", "delta_e_f_ev_per_atom": -0.02, "total_magnetization_mub_per_cell": 0.00, "sg": "P4/mmm (123)", "cell": [[4.956, 0.000, 0.000], [0.000, 4.956, 0.000], [0.000, 0.000, 20.114]], "species": ["Dy", "Dy", "Al", "Pm", "Dy", "Dy", "Dy", "Dy", "Pm", "Dy", "Dy", "Dy", "Pm", "Dy", "Dy", "Dy"], "frac_coords": [[0.500, 0.500, 0.500], [0.500, 0.000, 0.628], [0.000, 0.000, 0.000], [0.000, 0.000, 0.500], [0.000, 0.500, 0.116], [0.000, 0.500, 0.372], [0.000, 0.500, 0.884], [0.500, 0.500, 0.000], [0.000, 0.000, 0.246], [0.500, 0.000, 0.372], [0.500, 0.500, 0.242], [0.500, 0.000, 0.884], [0.000, 0.000, 0.754], [0.500, 0.500, 0.758], [0.500, 0.000, 0.116], [0.000, 0.500, 0.628]]}

4.
{"formula": "PmDy5Al4", "functional": "PBE-GGA", "state": "relaxed", "delta_e_f_ev_per_atom": -0.31, "total_magnetization_mub_per_cell": 0.00, "sg": "P4/mmm (123)", "cell": [[3.580, 0.000, 0.000], [0.000, 3.580, 0.000], [0.000, 0.000, 19.769]], "species": ["Dy", "Dy", "Dy", "Al", "Al", "Dy", "Al", "Al", "Pm", "Dy"], "frac_coords": [[0.500, 0.500, 0.500], [0.500, 0.500, 0.684], [0.500, 0.500, 0.132], [0.000, 0.000, 0.777], [0.000, 0.000, 0.223], [0.500, 0.500, 0.316], [0.000, 0.000, 0.408], [0.000, 0.000, 0.592], [0.000, 0.000, 0.000], [0.500, 0.500, 0.868]]}

5.
{"formula": "PmDy2Al", "functional": "PBE-GGA", "state": "relaxed", "delta_e_f_ev_per_atom": -0.19, "relative_energy_mev_per_atom": 2, "total_magnetization_mub_per_cell": 0.00, "sg": "Amm2 (38)", "cell": [[5.307, 0.000, 0.000], [0.000, 6.913, 0.001], [0.000, -3.450, 5.991]], "species": ["Dy", "Pm", "Dy", "Al", "Al", "Dy", "Pm", "Dy"], "frac_coords": [[0.500, 0.176, 0.824], [0.500, 0.647, 0.823], [0.000, 0.353, 0.174], [0.500, 0.668, 0.332], [0.000, 0.330, 0.670], [0.000, 0.825, 0.175], [0.500, 0.177, 0.353], [0.000, 0.826, 0.647]]}

6.
{"formula": "Pm8Dy2Al", "functional": "PBE-GGA", "state": "relaxed", "delta_e_f_ev_per_atom": 0.03, "total_magnetization_mub_per_cell": 0.00, "sg": "C2/m (12)", "cell": [[-2.101, -5.027, -0.768], [5.667, -3.082, 4.672], [-6.257, 4.871, 4.946]], "species": ["Pm", "Pm", "Dy", "Pm", "Al", "Pm", "Pm", "Pm", "Pm", "Dy", "Pm"], "frac_coords": [[0.822, 0.784, 0.645], [0.656, 0.908, 0.313], [0.809, 0.340, 0.618], [0.390, 0.580, 0.780], [0.500, 0.000, 0.000], [0.988, 0.236, 0.976], [0.610, 0.420, 0.220], [0.178, 0.216, 0.355], [0.344, 0.092, 0.687], [0.191, 0.660, 0.382], [0.012, 0.764, 0.024]]}

7.
{"formula": "Pm2Dy8Al", "functional": "PBE-GGA", "state": "relaxed", "delta_e_f_ev_per_atom": 0.02, "relative_energy_mev_per_atom": 54, "total_magnetization_mub_per_cell": 0.00, "sg": "Immm (71)", "cell": [[5.421, 0.000, 0.000], [0.000, 7.476, -0.237], [-2.711, -3.461, 8.703]], "species": ["Dy", "Dy", "Dy", "Pm", "Dy", "Pm", "Dy", "Dy", "Al", "Dy", "Dy"], "frac_coords": [[0.819, 0.819, 0.639], [0.633, 0.396, 0.266], [0.000, 0.245, 0.000], [0.807, 0.307, 0.614], [0.181, 0.181, 0.361], [0.193, 0.693, 0.386], [0.633, 0.870, 0.266], [0.000, 0.755, 0.000], [0.500, 0.000, 0.000], [0.367, 0.604, 0.734], [0.367, 0.130, 0.734]]}

8.
{"formula": "Pm6Dy12Al", "functional": "PBE-GGA", "state": "relaxed", "delta_e_f_ev_per_atom": 0.09, "total_magnetization_mub_per_cell": 0.00, "sg": "R-3 (148)", "cell": [[8.405, 0.678, 0.812], [-0.604, 8.410, 0.812], [-0.604, -0.704, 8.420]], "species": ["Pm", "Pm", "Dy", "Pm", "Dy", "Pm", "Dy", "Dy", "Pm", "Dy", "Al", "Dy", "Dy", "Dy", "Dy", "Dy", "Pm", "Dy", "Dy"], "frac_coords": [[0.258, 0.092, 0.702], [0.742, 0.908, 0.298], [0.357, 0.015, 0.184], [0.298, 0.742, 0.908], [0.816, 0.643, 0.985], [0.908, 0.298, 0.742], [0.015, 0.184, 0.357], [0.538, 0.437, 0.780], [0.092, 0.702, 0.258], [0.437, 0.780, 0.538], [0.000, 0.000, 0.000], [0.643, 0.985, 0.816], [0.220, 0.462, 0.563], [0.184, 0.357, 0.015], [0.563, 0.220, 0.462], [0.985, 0.816, 0.643], [0.702, 0.258, 0.092], [0.780, 0.538, 0.437], [0.462, 0.563, 0.220]]}

no.,density (g cm⁻³)
1,5.8
2,7.7
3,8.1
4,7.0
5,7.5
6,7.0
7,7.7
8,7.8